Density functional theory data (SCAN) for Mo3HAu at its PBEsol-relaxed geometry.

a = 3.9878 Å, b = 3.9878 Å, c = 3.9878 Å
α = 90.00°, β = 90.00°, γ = 90.00°
Space group Pm-3m (No. 221)
Unique sites:
1 Mo 0.0000 0.0000 0.5000
2 H 0.0000 0.0000 0.0000
3 Au 0.5000 0.5000 0.5000

Values from the calculation:
Uncorrected energy (eV/atom): -35.386